1.
Entry from Alexandria: crystalline Al2Co5GeB2 at its relaxed geometry (PBE).

The structure in POSCAR format:
```
Al2Co5GeB2
1.0
2.884 0.000 0.000
0.000 8.448 0.000
0.000 0.000 8.448
Al Co Ge B
4 10 2 4
direct
0.000 0.674 0.174 Al
0.000 0.326 0.826 Al
0.000 0.174 0.326 Al
0.000 0.826 0.674 Al
0.500 0.216 0.073 Co
0.500 0.784 0.927 Co
0.500 0.073 0.784 Co
0.500 0.716 0.427 Co
0.500 0.927 0.216 Co
0.500 0.284 0.573 Co
0.500 0.573 0.716 Co
0.500 0.427 0.284 Co
0.500 0.500 0.000 Co
0.500 0.000 0.500 Co
0.000 0.000 0.000 Ge
0.000 0.500 0.500 Ge
0.000 0.123 0.623 B
0.000 0.877 0.377 B
0.000 0.623 0.877 B
0.000 0.377 0.123 B
```

The energy is -6.519 eV per atom. The density of states at the Fermi level comes out at 8.2 states/eV per cell. The value obtained for the formation energy is -0.420 eV/atom. The space group is P4/mbm. As for the magnetization: 0.000 μB/cell.

2.
Entry from Alexandria: crystalline LaAl2CoB at its relaxed geometry (PBE).

The structure in POSCAR format:
```
LaAl2CoB
1.0
-3.494 -2.496 1.517
1.654 -3.325 -1.662
2.259 -0.811 3.869
B Co Al La
1 1 2 1
direct
0.000 0.500 0.000 B
0.000 0.000 0.000 Co
0.000 0.000 0.500 Al
0.500 0.000 0.000 Al
0.500 0.500 0.500 La
```

The energy is -5.316 eV per atom. The density of states at the Fermi level comes out at 5.5 states/eV per cell. The value obtained for the formation energy is -0.077 eV/atom. The space group is P4/mmm. As for the magnetization: 0.001 μB/cell. The calculation puts the energy above the most stable polymorph in this dataset at 0 meV per atom.

3.
Entry from Alexandria: crystalline LaAl2CoB at its relaxed geometry (PBE).

The structure in POSCAR format:
```
LaAl2CoB
1.0
-2.692 -1.144 3.363
3.306 -0.227 2.570
-0.519 4.301 1.048
B Co Al La
1 1 2 1
direct
0.000 0.000 0.000 B
0.000 0.500 0.000 Co
0.000 0.000 0.500 Al
0.500 0.000 0.000 Al
0.500 0.500 0.500 La
```

The energy is -5.159 eV per atom. The density of states at the Fermi level comes out at 4.1 states/eV per cell. The value obtained for the formation energy is 0.080 eV/atom. The space group is P4/mmm. As for the magnetization: 0.000 μB/cell. The calculation puts the energy above the most stable polymorph in this dataset at 157 meV per atom.

4.
Entry from Alexandria: crystalline AlCoNi2B at its relaxed geometry (PBE).

The structure in POSCAR format:
```
AlCoNi2B
1.0
-2.474 -2.495 1.454
1.791 0.175 3.349
-2.246 2.841 1.053
Ni B Co Al
2 1 1 1
direct
0.000 0.500 0.000 Ni
0.500 0.000 0.000 Ni
0.000 0.000 0.000 B
0.000 0.000 0.500 Co
0.500 0.500 0.500 Al
```

The energy is -6.129 eV per atom. The density of states at the Fermi level comes out at 3.1 states/eV per cell. The value obtained for the formation energy is -0.311 eV/atom. The space group is P4/mmm. As for the magnetization: 0.188 μB/cell.

5.
Entry from Alexandria: crystalline AlCo2NiB at its relaxed geometry (PBE).

The structure in POSCAR format:
```
AlCo2NiB
1.0
3.776 0.000 0.000
0.000 3.776 0.000
0.000 0.000 3.773
Ni B Co Al
1 1 2 1
direct
0.000 0.000 0.500 Ni
0.000 0.000 0.000 B
0.000 0.500 0.000 Co
0.500 0.000 0.000 Co
0.500 0.500 0.500 Al
```

The energy is -6.382 eV per atom. The density of states at the Fermi level comes out at 2.5 states/eV per cell. The value obtained for the formation energy is -0.299 eV/atom. The space group is P4/mmm. As for the magnetization: 0.000 μB/cell.

6.
Entry from Alexandria: crystalline Np2AlCo5B2 at its relaxed geometry (PBE).

The structure in POSCAR format:
```
Np2AlCo5B2
1.0
2.868 0.000 0.000
0.000 9.243 0.000
0.000 0.000 9.243
Np Al Co B
4 2 10 4
direct
0.000 0.680 0.180 Np
0.000 0.320 0.820 Np
0.000 0.180 0.320 Np
0.000 0.820 0.680 Np
0.000 0.000 0.000 Al
0.000 0.500 0.500 Al
0.500 0.229 0.067 Co
0.500 0.771 0.933 Co
0.500 0.067 0.771 Co
0.500 0.729 0.433 Co
0.500 0.933 0.229 Co
0.500 0.271 0.567 Co
0.500 0.567 0.729 Co
0.500 0.433 0.271 Co
0.500 0.500 0.000 Co
0.500 0.000 0.500 Co
0.000 0.117 0.617 B
0.000 0.883 0.383 B
0.000 0.617 0.883 B
0.000 0.383 0.117 B
```

The energy is -8.094 eV per atom. The density of states at the Fermi level comes out at 30.5 states/eV per cell. The value obtained for the formation energy is -0.243 eV/atom. The space group is P4/mbm. As for the magnetization: 14.104 μB/cell.

Density, respectively: 7.1, 5.2, 5.2, 6.5, 6.6, 11.1 Mg/m³.